Computed, not measured: a relaxed TiBe3Ge crystal at the PBE level of DFT.

The structure in CIF format:
```
data_TiBe3Ge
_chemical_formula_sum 'Ti1 Be3 Ge1'
_cell_length_a 4.504
_cell_length_b 4.504
_cell_length_c 4.504
_cell_angle_alpha 90.00
_cell_angle_beta 90.00
_cell_angle_gamma 90.00
_space_group_name_H-M_alt 'P m -3 m'
_space_group_IT_number 221
_space_group_name_Hall '-P 4 2 3'
loop_
_atom_site_label
_atom_site_type_symbol
_atom_site_fract_x
_atom_site_fract_y
_atom_site_fract_z
Ti1 Ti 0.000 0.000 0.000
Be1 Be 0.000 0.000 0.500
Ge1 Ge 0.500 0.500 0.500
```

Calculated values
Magnetization   1.6 Bohr magnetons per cell
ΔH_f (0 K)   1.6026 eV per atom